# 1
Li3Co2P5O16 at its PBEsol-relaxed geometry, computed with meta-GGA SCAN.

Summary:
- raw formation energy (meV per atom) = -2309
- density of states at the Fermi level (states/eV/cell) = 0.00
- raw total energy (Ry/atom) = -0.717
- total magnetic moment (μB/atom) = 0.231

```
Li3Co2P5O16
1.0
-3.9026 2.7394 -1.3995
-1.7235 -4.7712 -4.5332
-9.4848 -8.5931 12.6503
O Li Co P
32 6 4 10
direct
0.8112 0.3123 0.6418
0.9321 0.0762 0.9302
0.5649 0.5483 0.8925
0.1888 0.6877 0.3582
0.6166 0.7973 0.0169
0.6209 0.9742 0.6301
0.1888 0.3123 0.8582
0.1791 0.1280 0.2002
0.4351 0.5483 0.6075
0.1791 0.8720 0.7002
0.5649 0.4517 0.3925
0.8029 0.3848 0.2053
0.3791 0.0258 0.3699
0.9321 0.9238 0.4302
0.3834 0.7973 0.4831
0.9130 0.6270 0.5672
0.8209 0.8720 0.7998
0.9130 0.3730 0.0672
0.8029 0.6152 0.7053
0.8209 0.1280 0.2998
0.0679 0.0762 0.5698
0.6209 0.0258 0.1301
0.1971 0.3848 0.2947
0.8112 0.6877 0.1418
0.0870 0.3730 0.4328
0.0870 0.6270 0.9328
0.3791 0.9742 0.8699
0.3834 0.2027 0.9831
0.1971 0.6152 0.7947
0.0679 0.9238 0.0698
0.4351 0.4517 0.1075
0.6166 0.2027 0.5169
0.2622 0.3181 0.5331
0.2622 0.6819 0.0331
0.7378 0.3181 0.9669
0.5000 0.0160 0.2500
0.7378 0.6819 0.4669
0.5000 0.9840 0.7500
0.2651 0.1770 0.0899
0.7349 0.8230 0.9101
0.2651 0.8230 0.5899
0.7349 0.1770 0.4101
0.2247 0.8770 0.4145
0.2638 0.4658 0.3765
0.0000 0.7598 0.7500
0.7362 0.4658 0.1235
0.7362 0.5342 0.6235
0.2247 0.1230 0.9145
0.7753 0.1230 0.5855
0.2638 0.5342 0.8765
0.0000 0.2402 0.2500
0.7753 0.8770 0.0855
```

---

# 2
NdSi2Ni9 at its PBEsol-relaxed geometry, computed with meta-GGA SCAN.

Summary:
- raw formation energy (meV per atom) = -460
- density of states at the Fermi level (states/eV/cell) = 19.84
- raw total energy (Ry/atom) = -1.315
- total magnetic moment (μB/atom) = 0.000

```
NdSi2Ni9
1.0
6.1242 0.0000 0.0000
3.0621 6.8519 0.0000
3.0621 0.0000 6.8519
Nd Ni Si
2 18 4
direct
0.5000 0.0000 0.0000
0.2500 0.5000 0.5000
0.6867 0.5791 0.1718
0.0158 0.6718 0.9209
0.1415 0.1718 0.4209
0.6867 0.1718 0.5791
0.0633 0.3282 0.9209
0.7342 0.5791 0.8282
0.0158 0.9209 0.6718
0.7500 0.5000 0.5000
0.4376 0.4209 0.8282
0.0000 0.0000 0.0000
0.3124 0.0791 0.6718
0.6085 0.0791 0.3282
0.3124 0.6718 0.0791
0.0633 0.9209 0.3282
0.4376 0.8282 0.4209
0.7342 0.8282 0.5791
0.1415 0.4209 0.1718
0.6085 0.3282 0.0791
0.8750 0.2500 0.7500
0.8750 0.7500 0.2500
0.3750 0.7500 0.7500
0.8750 0.2500 0.2500
```

---

# 3
NaFe3Te at its PBEsol-relaxed geometry, computed with meta-GGA SCAN.

Summary:
- raw formation energy (meV per atom) = 1565
- relative energy among the computed polymorphs (meV per atom) = 581
- density of states at the Fermi level (states/eV/cell) = 3.44
- raw total energy (Ry/atom) = -1.294
- total magnetic moment (μB/atom) = 1.747

```
NaFe3Te
1.0
4.4564 0.0000 0.0000
0.0000 4.4564 0.0000
0.0000 0.0000 4.4564
Fe Na Te
3 1 1
direct
0.0000 0.5000 0.0000
0.5000 0.0000 0.0000
0.0000 0.0000 0.5000
0.0000 0.0000 0.0000
0.5000 0.5000 0.5000
```

---

# 4
ReSbCl2 at its PBEsol-relaxed geometry, computed with meta-GGA SCAN.

Summary:
- raw formation energy (meV per atom) = 1083
- relative energy among the computed polymorphs (meV per atom) = 824
- density of states at the Fermi level (states/eV/cell) = 2.69
- raw total energy (Ry/atom) = -2.205
- total magnetic moment (μB/atom) = 0.978

```
ReSbCl2
1.0
-3.2368 2.6662 -0.6879
-1.8571 -1.3299 3.5835
2.1679 3.2311 2.3226
Sb Cl Re
1 2 1
direct
0.0000 0.0000 0.5000
0.0000 0.5000 0.0000
0.5000 0.0000 0.0000
0.5000 0.5000 0.5000
```

---

# 5
MnTc2Te at its PBEsol-relaxed geometry, computed with meta-GGA SCAN.

Summary:
- raw formation energy (meV per atom) = 198
- density of states at the Fermi level (states/eV/cell) = 3.45
- raw total energy (Ry/atom) = -2.294
- total magnetic moment (μB/atom) = 0.591

```
MnTc2Te
1.0
3.0021 0.0000 0.0000
0.0000 4.7970 -0.0288
-1.5010 -0.7868 4.2448
Tc Mn Te
2 1 1
direct
0.7644 0.7840 0.5288
0.2356 0.2160 0.4712
0.5000 0.0000 0.0000
0.0000 0.5000 0.0000
```

---

# 6
SrYAl3 at its PBEsol-relaxed geometry, computed with meta-GGA SCAN.

Summary:
- density of states at the Fermi level (states/eV/cell) = 3.62
- DFT formation energy (eV/f.u.) = 5.6
- raw total energy (Ry/atom) = -0.996
- total magnetic moment (μB/atom) = 0.000

```
SrYAl3
1.0
5.3279 0.0000 0.0000
0.0000 5.3279 0.0000
0.0000 0.0000 5.3279
Al Y Sr
3 1 1
direct
0.0000 0.5000 0.0000
0.5000 0.0000 0.0000
0.0000 0.0000 0.5000
0.5000 0.5000 0.5000
0.0000 0.0000 0.0000
```

---

# 7
NiTeW at its PBEsol-relaxed geometry, computed with meta-GGA SCAN.

Summary:
- raw formation energy (meV per atom) = 565
- density of states at the Fermi level (states/eV/cell) = 1.73
- raw total energy (Ry/atom) = -2.975
- total magnetic moment (μB/atom) = 0.000

```
NiTeW
1.0
-2.4497 -0.5313 -2.0573
1.0076 -3.0548 -0.4108
-1.8453 0.4904 4.6264
Ni Te W
1 1 1
direct
0.9999 0.9999 0.9999
0.3388 0.3388 0.6776
0.6613 0.6613 0.3226
```

---

# 8
LiIrRu at its PBEsol-relaxed geometry, computed with meta-GGA SCAN.

Summary:
- density of states at the Fermi level (states/eV/cell) = 1.93
- DFT formation energy (eV/f.u.) = 0.7
- raw total energy (Ry/atom) = -2.638
- total magnetic moment (μB/atom) = 0.000

```
LiIrRu
1.0
4.0073 0.0000 0.0000
2.0037 3.4704 0.0000
2.0037 1.1568 3.2720
Ir Ru Li
1 1 1
direct
0.7500 0.7500 0.7500
0.5000 0.5000 0.5000
0.0000 0.0000 0.0000
```

---

# 9
TmZrOs2 at its PBEsol-relaxed geometry, computed with meta-GGA SCAN.

Summary:
- density of states at the Fermi level (states/eV/cell) = 1.63
- DFT formation energy (eV/f.u.) = -2.3
- raw total energy (Ry/atom) = -4.200
- total magnetic moment (μB/atom) = 0.000

```
TmZrOs2
1.0
-1.8977 3.5950 -2.2148
0.6817 0.5391 -4.5470
-3.4912 -0.6868 -2.9615
Tm Zr Os
1 1 2
direct
0.5000 0.5000 0.5000
0.0000 0.0000 0.0000
0.2500 0.2500 0.2500
0.7500 0.7500 0.7500
```

---

# 10
CoAsPBr2 at its PBEsol-relaxed geometry, computed with meta-GGA SCAN.

Summary:
- raw formation energy (meV per atom) = 865
- density of states at the Fermi level (states/eV/cell) = 2.85
- raw total energy (Ry/atom) = -1.213
- total magnetic moment (μB/atom) = 0.588

```
CoAsPBr2
1.0
4.9990 0.0000 0.0000
0.0000 4.8420 0.0000
0.0000 0.0000 4.8420
As Br Co P
1 2 1 1
direct
0.5000 0.0000 0.0000
0.0000 0.5000 0.0000
0.0000 0.0000 0.5000
0.5000 0.5000 0.5000
0.0000 0.0000 0.0000
```

---

# 11
UTaN2 at its PBEsol-relaxed geometry, computed with meta-GGA SCAN.

Summary:
- raw formation energy (meV per atom) = -1344
- density of states at the Fermi level (states/eV/cell) = 11.29
- raw total energy (Ry/atom) = -3.566
- total magnetic moment (μB/atom) = 0.301

```
UTaN2
1.0
-2.3973 1.8995 -0.9320
-3.3358 -4.4487 -0.4865
-3.1047 1.1896 10.4109
Ta N U
4 8 4
direct
0.7500 0.0765 0.1020
0.7500 0.5765 0.3980
0.2500 0.4235 0.6020
0.2500 0.9235 0.8980
0.7500 0.7393 0.9957
0.2500 0.1633 0.7456
0.2500 0.6633 0.7544
0.2500 0.7607 0.4957
0.7500 0.8367 0.2544
0.7500 0.2393 0.5043
0.7500 0.3367 0.2456
0.2500 0.2607 0.0043
0.7500 0.4216 0.8566
0.2500 0.0784 0.3566
0.7500 0.9216 0.6434
0.2500 0.5784 0.1434
```

---

# 12
LiTa5 at its PBEsol-relaxed geometry, computed with meta-GGA SCAN.

Summary:
- relative energy among the computed polymorphs (meV per atom) = 206
- density of states at the Fermi level (states/eV/cell) = 5.48
- DFT formation energy (eV/f.u.) = 3.2
- raw total energy (Ry/atom) = -4.068
- total magnetic moment (μB/atom) = 0.000

```
LiTa5
1.0
-2.4455 0.3124 4.8106
1.7310 -3.0482 4.1150
2.5436 2.2956 4.1810
Ta Li
5 1
direct
0.2500 0.2500 0.2500
0.6232 0.1305 0.6232
0.6232 0.6232 0.6232
0.1305 0.6232 0.6232
0.6232 0.6232 0.1305
0.0000 0.0000 0.0000
```